Computed, not measured: crystalline Mn2Ge2Pb at its relaxed geometry at the PBE-GGA level of DFT.

a = 4.2181 Å, b = 4.2181 Å, c = 6.0829 Å
α = 69.71°, β = 69.71°, γ = 90.00°
Last column: magnetic moment on the atom in μB.
Fractional coordinates of all 5 atoms:
Mn  0.2500  0.7500  0.5000  2.93
Ge  0.3746  0.3746  0.2507  -0.14
Ge  0.6254  0.6254  0.7493  -0.14
Pb  0.0000  0.0000  0.0000  0.01
Mn  0.7500  0.2500  0.5000  2.93

**Offset from the most stable computed form**: 0.0 meV per atom
**Formation energy from the elements**: 147 meV per atom
**Uncorrected energy**: -6.1096 eV/atom